(1)
DFT (PBE) results for crystalline Nd2Sm2Br3N2Cl2 at its relaxed geometry.

Computed properties:
VASP energy ... -5.596 eV/atom
Magnetization ... 0.001 μB/atom

```
11
Lattice="9.3918 -1.8461 0.0000 9.3918 1.8461 0.0000 -2.1727 0.0000 7.9436" Properties=species:S:1:pos:R:3 pbc="T T T"
Nd -0.4108 0.0000 1.5792
Nd 17.0216 0.0000 6.3644
Sm 4.4001 0.0000 7.1172
Sm 12.2107 0.0000 0.8264
Br 1.3944 0.0000 6.5023
Br 8.3054 0.0000 3.9718
Br 15.2165 0.0000 1.4413
N 6.5537 0.0000 7.7636
N 10.0571 0.0000 0.1800
Cl 2.1701 0.0000 2.8808
Cl 14.4407 0.0000 5.0628
```

=====

(2)
DFT (PBE) results for crystalline SmP3H5NO10 at its relaxed geometry.

Computed properties:
VASP energy ... -6.698 eV/atom
Magnetization ... 0.000 μB/atom

```
40
Lattice="6.9357 0.0000 0.0000 0.9999 7.5637 0.0000 2.3802 2.1992 7.8681" Properties=species:S:1:pos:R:3 pbc="T T T"
Sm 1.7322 1.0030 0.0502
Sm 8.5836 8.7599 7.8179
P 1.8773 4.3382 1.1227
P 5.0721 7.9332 6.6131
P 3.7625 6.1785 2.5036
P 6.5533 3.5843 5.3645
P 5.2437 1.8296 1.2550
P 8.4385 5.4246 6.7454
H 2.0722 2.7849 3.4405
H 2.5584 2.1768 4.9452
H 3.0064 3.7166 4.5118
H 4.2364 6.5138 4.6056
H 3.7013 2.4346 3.6707
H 6.6145 7.3282 4.1975
H 6.0794 3.2490 3.2625
H 7.3094 6.0463 3.3563
H 7.7574 7.5860 2.9229
H 8.2436 6.9780 4.4276
N 2.8280 2.7678 4.1432
N 7.4878 6.9951 3.7249
O 2.6335 4.4676 6.5482
O 1.6488 2.8859 1.4446
O 3.9054 8.9213 6.8329
O 2.8767 7.3141 2.0406
O 3.5944 5.9253 4.0430
O 4.7603 6.5722 7.4614
O 3.1528 4.7614 1.9767
O 5.2191 7.4816 5.1852
O 5.1122 3.5405 5.7970
O 6.2915 8.5805 7.2718
O 4.0243 1.1824 0.5963
O 5.2036 6.2223 2.0711
O 5.0967 2.2813 2.6829
O 7.1630 5.0015 5.8914
O 5.5555 3.1906 0.4067
O 6.7214 3.8376 3.8251
O 7.4391 2.4487 5.8275
O 6.4104 0.8416 1.0352
O 8.6670 6.8769 6.4235
O 7.6823 5.2953 1.3199
```

=====

(3)
DFT (PBE) results for crystalline Li2ScGa2PdPt2 at its relaxed geometry.

Computed properties:
VASP energy ... -4.903 eV/atom
Magnetization ... 0.001 μB/atom

```
8
Lattice="4.4115 0.0000 0.0000 0.0000 4.4115 0.0000 0.0000 0.0000 6.2719" Properties=species:S:1:pos:R:3 pbc="T T T"
Li 0.0000 2.2058 1.3816
Li 2.2058 0.0000 4.8903
Sc 2.2058 2.2058 3.1359
Ga 0.0000 0.0000 3.1359
Ga 2.2058 2.2058 0.0000
Pd 0.0000 0.0000 0.0000
Pt 0.0000 2.2058 4.6251
Pt 2.2058 0.0000 1.6468
```

=====

(4)
DFT (PBE) results for crystalline NbHgO3 at its relaxed geometry.

Computed properties:
VASP energy ... -6.877 eV/atom
Magnetization ... 0.000 μB/atom

```
10
Lattice="5.3103 0.0000 0.0000 -2.6551 4.5988 0.0000 0.0000 0.0000 7.4675" Properties=species:S:1:pos:R:3 pbc="T T T"
Nb 0.0000 3.0659 0.0000
Nb 2.6551 1.5329 0.0000
Hg 0.0000 0.0000 2.4494
Hg 0.0000 0.0000 5.0181
O -0.9913 1.7170 1.1069
O -1.6638 2.8818 6.3606
O 1.9826 0.0000 1.1069
O 0.9913 1.7170 6.3606
O 3.3277 0.0000 6.3606
O 1.6638 2.8818 1.1069
```

=====

(5)
DFT (PBE) results for crystalline SrNiSn2 at its relaxed geometry.

Computed properties:
VASP energy ... -3.819 eV/atom
Magnetization ... 0.007 μB/atom

```
4
Lattice="0.0000 3.6449 3.6449 3.6449 0.0000 3.6449 3.6449 3.6449 0.0000" Properties=species:S:1:pos:R:3 pbc="T T T"
Sr 0.0000 0.0000 0.0000
Ni 1.8224 1.8224 1.8224
Sn 3.6449 3.6449 3.6449
Sn 5.4673 5.4673 5.4673
```

=====

(6)
DFT (PBE) results for crystalline UAl5Cu6 at its relaxed geometry.

Computed properties:
VASP energy ... -4.591 eV/atom
Magnetization ... 0.242 μB/atom

```
24
Lattice="0.0000 7.0829 7.4609 3.2875 0.0000 7.4609 3.2875 7.0829 0.0000" Properties=species:S:1:pos:R:3 pbc="T T T"
U 0.8219 1.7707 1.8652
U 5.7530 12.3951 13.0566
Al 3.8014 5.9491 3.1653
Al 5.4451 8.2167 6.8958
Al 3.8014 4.6752 8.0260
Al 1.1298 4.6752 3.1653
Al 2.4656 5.3122 5.5957
Al 4.1093 8.8536 9.3261
Al 5.4451 9.4906 11.7564
Al 2.7735 9.4906 6.8958
Al 1.1298 5.9491 8.0260
Al 2.7735 8.2167 11.7564
Cu 3.2875 3.5414 3.7304
Cu 3.7262 3.0066 6.1451
Cu 5.3699 6.5480 8.7767
Cu 3.7262 7.6178 5.0463
Cu 1.2050 3.0066 5.0463
Cu 1.6437 7.0829 3.7304
Cu 1.6437 3.5414 7.4609
Cu 3.2875 7.0829 7.4609
Cu 5.3699 11.1592 9.8755
Cu 2.8487 6.5480 9.8755
Cu 1.2050 7.6178 6.1451
Cu 2.8487 11.1592 8.7767
```

=====

(7)
DFT (PBE) results for crystalline ScSnAuSeS2 at its relaxed geometry.

Computed properties:
VASP energy ... -5.119 eV/atom
Magnetization ... 0.001 μB/atom

```
12
Lattice="1.9482 -7.1387 0.0000 1.9482 7.1387 0.0000 0.0000 0.0000 10.2703" Properties=species:S:1:pos:R:3 pbc="T T T"
Sc 0.0000 0.0000 0.0000
Sc 0.0000 0.0000 5.1351
Sn 1.9482 2.7580 7.7027
Sn 1.9482 -2.7580 2.5676
Au 1.9482 2.1360 2.5676
Au 1.9482 -2.1360 7.7027
Se 1.9482 6.3826 2.5676
Se 1.9482 -6.3826 7.7027
S 1.9482 1.7547 0.2263
S 1.9482 1.7547 4.9088
S 1.9482 -1.7547 5.3615
S 1.9482 -1.7547 10.0439
```

=====

(8)
DFT (PBE) results for crystalline KBiOs at its relaxed geometry.

Computed properties:
VASP energy ... -3.318 eV/atom
Magnetization ... 0.727 μB/atom
Energy relative to the lowest polymorph listed for this composition ... 1010 meV/atom

```
3
Lattice="0.0000 3.5857 3.5857 3.5857 0.0000 3.5857 3.5857 3.5857 0.0000" Properties=species:S:1:pos:R:3 pbc="T T T"
K 0.0000 0.0000 0.0000
Bi 5.3786 5.3786 5.3786
Os 1.7929 1.7929 1.7929
```

=====

(9)
DFT (PBE) results for crystalline GdLuGe2Os at its relaxed geometry.

Computed properties:
VASP energy ... -6.625 eV/atom
Magnetization ... 0.002 μB/atom

```
10
Lattice="5.3307 -2.1465 0.0000 5.3307 2.1465 0.0000 -4.7094 0.0000 8.9418" Properties=species:S:1:pos:R:3 pbc="T T T"
Gd 1.4484 0.0000 1.0140
Gd 4.5035 0.0000 7.9278
Lu -1.5449 0.0000 2.9398
Lu 7.4968 0.0000 6.0019
Ge 1.7735 0.0000 3.9066
Ge 4.5992 0.0000 1.1433
Ge 1.3527 0.0000 7.7985
Ge 4.1784 0.0000 5.0352
Os -0.0900 0.0000 5.6228
Os 6.0419 0.0000 3.3190
```

=====

(10)
DFT (PBE) results for crystalline BaBiPtAu at its relaxed geometry.

Computed properties:
VASP energy ... -3.887 eV/atom
Magnetization ... 0.000 μB/atom
Energy relative to the lowest polymorph listed for this composition ... 268 meV/atom

```
4
Lattice="0.0000 3.7346 3.7346 3.7346 0.0000 3.7346 3.7346 3.7346 0.0000" Properties=species:S:1:pos:R:3 pbc="T T T"
Ba 0.0000 0.0000 0.0000
Bi 1.8673 1.8673 1.8673
Pt 5.6019 5.6019 5.6019
Au 3.7346 3.7346 3.7346
```

=====

(11)
DFT (PBE) results for crystalline GdBiPd at its relaxed geometry.

Computed properties:
VASP energy ... -4.922 eV/atom
Magnetization ... 0.000 μB/atom

```
3
Lattice="0.0000 3.4955 3.4955 3.4955 0.0000 3.4955 3.4955 3.4955 0.0000" Properties=species:S:1:pos:R:3 pbc="T T T"
Gd 0.0000 0.0000 0.0000
Bi 5.2432 5.2432 5.2432
Pd 1.7477 1.7477 1.7477
```

=====

(12)
DFT (PBE) results for crystalline Pd2Pb2Au at its relaxed geometry.

Computed properties:
VASP energy ... -4.016 eV/atom
Energy relative to the lowest polymorph listed for this composition ... 167 meV/atom

```
5
Lattice="-2.2350 2.2350 5.9041 2.2350 -2.2350 5.9041 2.2350 2.2350 -5.9041" Properties=species:S:1:pos:R:3 pbc="T T T"
Pd 0.0000 0.0000 1.2732
Pd 0.0000 0.0000 10.5350
Pb 2.2350 0.0000 2.9521
Pb 0.0000 2.2350 2.9521
Au 0.0000 0.0000 5.9041
```